# 1
DFT (PBE) results for a relaxed structure of Tm4Bi5H2.

Cell: 22.097 3.565 9.006 Å, 90.00 113.83 90.00°
Space group C2/m (No. 12)
One atom of each set of equivalent atoms:
Tm (0.034, 0.000, 0.324) x4
Tm (0.184, 0.500, 0.552) x4
Bi (0.000, 0.500, 0.000) x2
Bi (0.114, 0.000, 0.730) x4
Bi (0.163, 0.000, 0.227) x4
H (0.082, 0.500, 0.398) x4

The magnetic moment comes out at 0.0000 μB/atom. As for the volume: 29.50 Å³/atom. The calculation puts the total energy at -4.402 eV per atom.

# 2
DFT (PBE) results for a relaxed structure of Tm5Bi2H.

Cell: 6.914 6.914 8.877 Å, 90.00 90.00 90.00°
Space group I4mm (No. 107)
One atom of each set of equivalent atoms:
Tm (0.000, 0.000, 0.000) x2
Tm (0.250, 0.250, 0.246) x8
Bi (0.000, 0.500, 0.496) x4
H (0.000, 0.000, 0.250) x2

The magnetic moment comes out at 0.0000 μB/atom. As for the volume: 26.52 Å³/atom. The calculation puts the total energy at -4.493 eV per atom.

# 3
DFT (PBE) results for a relaxed structure of Tm5Bi4H.

Cell: 9.639 9.639 6.228 Å, 90.00 90.00 90.00°
Space group I4 (No. 79)
One atom of each set of equivalent atoms:
Tm (0.000, 0.000, 0.000) x2
Tm (0.100, 0.706, 0.617) x8
Bi (0.095, 0.703, 0.117) x8
H (0.000, 0.000, 0.651) x2

The magnetic moment comes out at 0.0000 μB/atom. As for the volume: 28.93 Å³/atom. The calculation puts the total energy at -4.647 eV per atom.

# 4
DFT (PBE) results for a relaxed structure of Tm4BiH.

Cell: 8.085 15.429 5.854 Å, 90.00 124.06 90.00°
Space group C2/c (No. 15)
One atom of each set of equivalent atoms:
Tm (0.147, 0.219, 0.147) x8
Tm (0.204, 0.064, 0.606) x8
Bi (0.000, 0.402, 0.750) x4
H (0.000, 0.021, 0.750) x4

The magnetic moment comes out at 0.0000 μB/atom. As for the volume: 25.21 Å³/atom. The calculation puts the total energy at -4.475 eV per atom.

# 5
DFT (PBE) results for a relaxed structure of U2BiH3.

Cell: 15.376 3.920 6.995 Å, 90.00 116.95 90.00°
Space group C2/m (No. 12)
One atom of each set of equivalent atoms:
U (0.000, 0.000, 0.192) x4
U (0.143, 0.500, 0.642) x4
Bi (0.163, 0.500, 0.162) x4
H (0.000, 0.500, 0.348) x4
H (0.132, 0.000, 0.777) x4
H (0.133, 0.000, 0.487) x4

The magnetic moment comes out at 0.8446 μB/atom. As for the volume: 15.66 Å³/atom. The calculation puts the total energy at -6.227 eV per atom.

# 6
DFT (PBE) results for a relaxed structure of U2BiH.

Cell: 3.8178 3.8178 18.6211 Å, 90.00 90.00 120.00°
Space group R-3m (No. 166, hexagonal axes)
One atom of each set of equivalent atoms:
U (0.0000, 0.0000, 0.2036) x6
Bi (0.0000, 0.0000, 0.0000) x3
H (0.0000, 0.0000, 0.5000) x3

The magnetic moment comes out at 0.0000 μB/atom. As for the volume: 19.59 Å³/atom. The calculation puts the total energy at -7.325 eV per atom.

# 7
DFT (PBE) results for a relaxed structure of U3BiH3.

Cell: 6.193 6.193 6.193 Å, 90.00 90.00 90.00°
Space group Pm-3n (No. 223)
One atom of each set of equivalent atoms:
U (0.000, 0.250, 0.500) x6
Bi (0.000, 0.000, 0.000) x2
H (0.000, 0.500, 0.250) x6

The magnetic moment comes out at 1.4356 μB/atom. As for the volume: 16.96 Å³/atom. The calculation puts the total energy at -6.855 eV per atom.

# 8
DFT (PBE) results for a relaxed structure of VBi2H.

Cell: 6.905 6.905 6.905 Å, 90.00 90.00 90.00°
Space group Fm-3m (No. 225)
One atom of each set of equivalent atoms:
V (0.000, 0.000, 0.000) x4
Bi (0.250, 0.250, 0.250) x8
H (0.000, 0.000, 0.500) x4

The magnetic moment comes out at 0.8681 μB/atom. Its polymorph energy (0 for the lowest one) is 0.072 eV/atom. As for the volume: 20.58 Å³/atom. The calculation puts the total energy at -4.387 eV per atom.

# 9
DFT (PBE) results for a relaxed structure of VBi2H.

Cell: 6.758 6.758 7.162 Å, 90.00 90.00 90.00°
Space group I-42d (No. 122)
One atom of each set of equivalent atoms:
V (0.000, 0.000, 0.000) x4
Bi (0.179, 0.250, 0.625) x8
H (0.000, 0.000, 0.500) x4

The magnetic moment comes out at 0.5951 μB/atom. Its polymorph energy (0 for the lowest one) is 0.000 eV/atom. As for the volume: 20.44 Å³/atom. The calculation puts the total energy at -4.458 eV per atom.

# 10
DFT (PBE) results for a relaxed structure of V2BiH.

Cell: 3.1978 3.1978 21.9609 Å, 90.00 90.00 120.00°
Space group R-3m (No. 166, hexagonal axes)
One atom of each set of equivalent atoms:
V (0.0000, 0.0000, 0.1305) x6
Bi (0.0000, 0.0000, 0.0000) x3
H (0.0000, 0.0000, 0.5000) x3

The magnetic moment comes out at 0.0000 μB/atom. Its polymorph energy (0 for the lowest one) is 0.115 eV/atom. As for the volume: 16.21 Å³/atom. The calculation puts the total energy at -6.002 eV per atom.

# 11
DFT (PBE) results for a relaxed structure of VBiH3.

Cell: 4.213 4.213 4.213 Å, 90.00 90.00 90.00°
Space group Pm-3m (No. 221)
One atom of each set of equivalent atoms:
V (0.000, 0.000, 0.000) x1
Bi (0.500, 0.500, 0.500) x1
H (0.000, 0.500, 0.500) x3

The magnetic moment comes out at 0.7961 μB/atom. Its polymorph energy (0 for the lowest one) is 0.808 eV/atom. As for the volume: 14.96 Å³/atom. The calculation puts the total energy at -3.515 eV per atom.

# 12
DFT (PBE) results for a relaxed structure of VBi3H.

Cell: 5.211 5.211 5.211 Å, 90.00 90.00 90.00°
Space group Pm-3m (No. 221)
One atom of each set of equivalent atoms:
V (0.000, 0.000, 0.000) x1
Bi (0.000, 0.000, 0.500) x3
H (0.500, 0.500, 0.500) x1

The magnetic moment comes out at 0.0000 μB/atom. Its polymorph energy (0 for the lowest one) is 0.098 eV/atom. As for the volume: 28.30 Å³/atom. The calculation puts the total energy at -4.133 eV per atom.